1.
Here is SrMo2H8 after structural relaxation from Alexandria via LeMat-Bulk. Energies are from PBE-GGA.

Output
The value obtained for the raw total energy is -4.658 eV/atom. Its density of states at the Fermi level is 2.68 states/eV/cell.

a = 4.941 Å, b = 4.973 Å, c = 4.973 Å
α = 122.62°, β = 90.45°, γ = 90.45°
Sites, in units of the cell vectors:
H (0.334, 0.619, 0.995)
H (0.730, 0.611, 0.611)
H (0.334, 0.995, 0.619)
H (0.909, 0.687, 0.313)
H (0.641, 0.001, 0.261)
H (0.339, 0.460, 0.460)
H (0.641, 0.261, 0.001)
H (0.909, 0.313, 0.687)
Sr (0.048, 0.022, 0.022)
Mo (0.557, 0.678, 0.319)
Mo (0.557, 0.319, 0.678)

---

2.
Here is Nb3CoH6 after structural relaxation from Alexandria via LeMat-Bulk. Energies are from PBE-GGA.

Output
The value obtained for the raw total energy is -5.876 eV/atom. Its density of states at the Fermi level is 6.75 states/eV/cell.

a = 4.550 Å, b = 6.052 Å, c = 6.052 Å
α = 97.26°, β = 90.00°, γ = 90.00°
Sites, in units of the cell vectors:
H (0.729, 0.983, 0.017)
H (0.229, 0.017, 0.983)
H (0.635, 0.190, 0.810)
H (0.209, 0.647, 0.637)
H (0.172, 0.126, 0.610)
H (0.172, 0.390, 0.874)
H (0.709, 0.353, 0.363)
H (0.709, 0.637, 0.647)
H (0.209, 0.363, 0.353)
H (0.672, 0.874, 0.390)
H (0.672, 0.610, 0.126)
H (0.135, 0.810, 0.190)
Co (0.478, 0.847, 0.153)
Co (0.978, 0.153, 0.847)
Nb (0.963, 0.095, 0.331)
Nb (0.963, 0.669, 0.905)
Nb (0.463, 0.331, 0.095)
Nb (0.463, 0.905, 0.669)
Nb (0.455, 0.375, 0.625)
Nb (0.955, 0.625, 0.375)

---

3.
Here is TbGdIr after structural relaxation from Alexandria via LeMat-Bulk. Energies are from PBE-GGA.

Output
Its energy above the lowest structure with this stoichiometry is 0.116 eV per atom. Its formation energy is -0.5432 eV/atom. Its density of states at the Fermi level is 3.26 states/eV/cell.

a = 3.476 Å, b = 3.476 Å, c = 6.958 Å
α = 104.46°, β = 104.46°, γ = 90.00°
Sites, in units of the cell vectors:
Ir (0.666, 0.666, 0.331)
Tb (0.041, 0.041, 0.082)
Gd (0.294, 0.294, 0.587)

---

4.
Here is La2CdSb4Rh3 after structural relaxation from Alexandria via LeMat-Bulk. Energies are from PBE-GGA.

Output
The value obtained for the uncorrected formation energy is -7.50 eV/f.u. Its density of states at the Fermi level is 4.85 states/eV/cell.

a = 4.592 Å, b = 4.592 Å, c = 10.996 Å
α = 90.00°, β = 90.00°, γ = 90.00°
Sites, in units of the cell vectors:
Cd (0.500, 0.500, 0.500)
Sb (0.000, 0.000, 0.000)
Sb (0.500, 0.000, 0.646)
Sb (0.500, 0.500, 0.000)
Sb (0.000, 0.500, 0.354)
La (0.500, 0.000, 0.241)
La (0.000, 0.500, 0.759)
Rh (0.500, 0.000, 0.882)
Rh (0.000, 0.000, 0.500)
Rh (0.000, 0.500, 0.118)

---

5.
Here is LaZnRh after structural relaxation from Alexandria via LeMat-Bulk. Energies are from PBE-GGA.

Output
Its formation energy is 0.1348 eV/atom. Its density of states at the Fermi level is 1.01 states/eV/cell.

a = 4.808 Å, b = 4.808 Å, c = 4.808 Å
α = 60.00°, β = 60.00°, γ = 60.00°
Sites, in units of the cell vectors:
La (0.750, 0.750, 0.750)
Zn (0.500, 0.500, 0.500)
Rh (0.000, 0.000, 0.000)

---

6.
Here is CsSeBr3 after structural relaxation from Alexandria via LeMat-Bulk. Energies are from PBE-GGA.

Output
The value obtained for the uncorrected formation energy is -3.91 eV/f.u. Its density of states at the Fermi level is 1.05 states/eV/cell.

a = 5.571 Å, b = 5.571 Å, c = 5.571 Å
α = 90.00°, β = 90.00°, γ = 90.00°
Sites, in units of the cell vectors:
Se (0.000, 0.000, 0.000)
Br (0.500, 0.000, 0.000)
Br (0.000, 0.000, 0.500)
Br (0.000, 0.500, 0.000)
Cs (0.500, 0.500, 0.500)

---

7.
Here is Al2TcAs after structural relaxation from Alexandria via LeMat-Bulk. Energies are from PBE-GGA.

Output
Its formation energy is -0.0936 eV/atom. Its density of states at the Fermi level is 2.58 states/eV/cell.

a = 3.362 Å, b = 3.361 Å, c = 5.454 Å
α = 90.00°, β = 90.00°, γ = 90.00°
Sites, in units of the cell vectors:
Al (0.500, 0.500, 0.255)
Al (0.000, 0.000, 0.986)
As (0.000, 0.000, 0.494)
Tc (0.500, 0.500, 0.765)